[1]
Density functional theory data (PBEsol) for a geometry-optimized Sc2Fe3Ru structure.

```
Sc2Fe3Ru
1.0
-0.8696 -1.5234 -4.4981
1.0471 -3.1904 3.4692
-7.9883 -0.6889 1.7776
Sc Fe Ru
4 6 2
direct
0.3333 0.6667 0.0657
0.6667 0.3333 0.9343
0.6667 0.3333 0.5657
0.3333 0.6667 0.4343
0.8279 0.1721 0.2500
0.3443 0.1721 0.2500
0.8279 0.6557 0.2500
0.1721 0.8279 0.7500
0.6557 0.8279 0.7500
0.1721 0.3443 0.7500
0.0000 0.0000 0.0000
0.0000 0.0000 0.5000
```

## Properties
DFT total energy: -8.692 eV per atom
space group: P6_3/mmc, No. 194
ρ: 7.18 g cm⁻³
ΔH_f (0 K): -0.31 eV/atom


[2]
Density functional theory data (PBEsol) for a geometry-optimized ZnNiAu2 structure.

```
ZnNiAu2
1.0
-2.8652 2.0400 -1.5706
-2.5507 -2.5686 1.3169
2.3541 2.3065 3.4248
Ni Zn Au
1 1 2
direct
0.5000 0.5000 0.0000
0.2500 0.7500 0.5000
0.0000 0.0000 0.0000
0.7500 0.2500 0.5000
```

## Properties
DFT total energy: -4.012 eV per atom
space group: I-4m2, No. 119
ρ: 14.88 g cm⁻³
ΔH_f (0 K): -0.11 eV/atom


[3]
Density functional theory data (PBEsol) for a geometry-optimized TiBeAs2Br structure.

```
TiBeAs2Br
1.0
4.3183 0.0000 0.0000
0.0000 4.3183 0.0000
0.0000 0.0000 5.0429
Be As Br Ti
1 2 1 1
direct
0.0000 0.0000 0.0000
0.0000 0.5000 0.0000
0.5000 0.0000 0.0000
0.0000 0.0000 0.5000
0.5000 0.5000 0.5000
```

## Properties
formation energy without anion corrections: 0.37 eV per atom
DFT total energy: -4.510 eV per atom
space group: P4/mmm, No. 123
ρ: 5.06 g cm⁻³


[4]
Density functional theory data (PBEsol) for a geometry-optimized Ta3CSe structure.

```
Ta3CSe
1.0
4.2677 0.0000 0.0000
0.0000 4.2677 0.0000
0.0000 0.0000 4.2677
C Se Ta
1 1 3
direct
0.0000 0.0000 0.0000
0.5000 0.5000 0.5000
0.0000 0.5000 0.0000
0.0000 0.0000 0.5000
0.5000 0.0000 0.0000
```

## Properties
formation energy without anion corrections: 0.20 eV per atom
DFT total energy: -10.031 eV per atom
space group: Pm-3m, No. 221
ρ: 13.54 g cm⁻³


[5]
Density functional theory data (PBEsol) for a geometry-optimized ZrGaMoC2 structure.

```
ZrGaMoC2
1.0
3.9517 0.0000 0.0000
0.0000 3.9517 0.0000
0.0000 0.0000 4.7447
C Mo Ga Zr
2 1 1 1
direct
0.0000 0.5000 0.0000
0.5000 0.0000 0.0000
0.0000 0.0000 0.5000
0.0000 0.0000 0.0000
0.5000 0.5000 0.5000
```

## Properties
DFT total energy: -6.653 eV per atom
space group: P4/mmm, No. 123
ρ: 6.30 g cm⁻³
ΔH_f (0 K): 2.04 eV/atom


[6]
Density functional theory data (PBEsol) for a geometry-optimized NiAgAu structure.

```
NiAgAu
1.0
2.7889 0.0491 0.0000
-0.0502 2.7889 0.0000
-1.3694 -1.4190 5.6271
Ag Au Ni
1 1 1
direct
0.0104 0.0104 0.0208
0.3219 0.3219 0.6438
0.6677 0.6677 0.3354
```

## Properties
DFT total energy: -4.361 eV per atom
space group: I4mm, No. 107
ρ: 13.79 g cm⁻³
ΔH_f (0 K): 0.10 eV/atom


[7]
Density functional theory data (PBEsol) for a geometry-optimized ScCuAg2 structure.

```
ScCuAg2
1.0
4.0131 0.0000 0.0000
0.0000 4.0131 0.0000
-2.0065 -2.0065 4.0461
Ag Cu Sc
2 1 1
direct
0.7500 0.2500 0.5000
0.2500 0.7500 0.5000
0.5000 0.5000 0.0000
0.0000 0.0000 0.0000
```

## Properties
DFT total energy: -4.552 eV per atom
space group: I4/mmm, No. 139
E above lowest polymorph: 12.7 meV/atom
ρ: 8.26 g cm⁻³
ΔH_f (0 K): -0.16 eV/atom


[8]
Density functional theory data (PBEsol) for a geometry-optimized Ag2PRu structure.

```
Ag2PRu
1.0
-0.4493 0.6965 -2.5825
-4.2303 0.4306 0.8521
0.7447 4.9371 1.2020
Ag P Ru
2 1 1
direct
0.0000 0.0000 0.7485
0.0000 0.0000 0.2515
0.5000 0.5000 0.0000
0.5000 0.5000 0.5000
```

## Properties
DFT total energy: -5.172 eV per atom
space group: Pmmm, No. 47
E above lowest polymorph: 321.4 meV/atom
ρ: 9.56 g cm⁻³
ΔH_f (0 K): 0.47 eV/atom


[9]
Density functional theory data (PBEsol) for a geometry-optimized TaAlRe2 structure.

```
TaAlRe2
1.0
2.7274 -0.0074 0.0000
-0.9206 2.5674 0.0000
0.0000 0.0000 8.7522
Re Al Ta
2 1 1
direct
0.0000 0.0000 0.0010
0.5000 0.5000 0.7566
0.5000 0.5000 0.2413
0.0000 0.0000 0.5011
```

## Properties
DFT total energy: -10.803 eV per atom
space group: Cmm2, No. 35
ρ: 15.74 g cm⁻³
ΔH_f (0 K): 0.02 eV/atom


[10]
Density functional theory data (PBEsol) for a geometry-optimized Ti3HW structure.

```
Ti3HW
1.0
4.0348 0.0000 0.0000
0.0000 4.0348 0.0000
0.0000 0.0000 4.0348
H W Ti
1 1 3
direct
0.0000 0.0000 0.0000
0.5000 0.5000 0.5000
0.0000 0.5000 0.0000
0.0000 0.0000 0.5000
0.5000 0.0000 0.0000
```

## Properties
DFT total energy: -8.427 eV per atom
space group: Pm-3m, No. 221
ρ: 8.30 g cm⁻³


[11]
Density functional theory data (PBEsol) for a geometry-optimized Li2IrRh structure.

```
Li2IrRh
1.0
2.6027 0.0000 -0.0060
0.0000 4.3776 0.0000
-0.1534 0.0000 4.5976
Ir Rh Li
1 1 2
direct
0.0000 0.5000 0.5000
0.5000 0.5000 0.0000
0.7398 0.0000 0.7494
0.2602 0.0000 0.2506
```

## Properties
DFT total energy: -5.613 eV per atom
space group: P2/m, No. 10
E above lowest polymorph: 25.4 meV/atom
ρ: 9.80 g cm⁻³
ΔH_f (0 K): -0.14 eV/atom


[12]
Density functional theory data (PBEsol) for a geometry-optimized SrTe2As2 structure.

```
SrTe2As2
1.0
-3.1492 -0.4233 2.4234
-2.3336 -0.7319 -3.1604
4.4018 -7.7520 1.0714
Sr As Te
1 2 2
direct
0.0000 0.0000 0.0000
0.2500 0.7500 0.5000
0.7500 0.2500 0.5000
0.3969 0.3969 0.7939
0.6031 0.6031 0.2061
```

## Properties
formation energy without anion corrections: -0.30 eV per atom
DFT total energy: -4.125 eV per atom
space group: I4/mmm, No. 139
ρ: 6.01 g cm⁻³


[13]
Density functional theory data (PBEsol) for a geometry-optimized NiAgBiAs2 structure.

```
NiAgBiAs2
1.0
-2.9766 -1.7929 3.3346
0.2911 -4.3376 -2.0723
4.2568 -1.2171 3.1454
Ni As Bi Ag
1 2 1 1
direct
0.5000 0.5000 0.5000
0.0000 0.5000 0.0000
0.5000 0.0000 0.0000
0.0000 0.0000 0.5000
0.0000 0.0000 0.0000
```

## Properties
DFT total energy: -3.580 eV per atom
space group: P4/mmm, No. 123
ρ: 6.93 g cm⁻³
ΔH_f (0 K): 1.21 eV/atom


[14]
Density functional theory data (PBEsol) for a geometry-optimized NaCaScSn2 structure.

```
NaCaScSn2
1.0
4.9366 0.0000 0.0000
0.0000 5.2960 0.0000
0.0000 0.0000 5.2960
Sc Na Ca Sn
1 1 1 2
direct
0.5000 0.5000 0.5000
0.0000 0.0000 0.0000
0.5000 0.0000 0.0000
0.0000 0.0000 0.5000
0.0000 0.5000 0.0000
```

## Properties
DFT total energy: -3.326 eV per atom
space group: P4/mmm, No. 123
ρ: 4.14 g cm⁻³
ΔH_f (0 K): 0.41 eV/atom


[15]
Density functional theory data (PBEsol) for a geometry-optimized Pr7Al7Co6 structure.

```
Pr7Al7Co6
1.0
4.1461 0.0000 0.0000
0.0000 13.7150 0.0000
0.0000 0.0000 13.7150
Pr Al Co
14 14 12
direct
0.0000 0.0000 0.0000
0.0000 0.5000 0.5000
0.5000 0.8689 0.3689
0.5000 0.3689 0.1311
0.5000 0.6311 0.8689
0.5000 0.1311 0.6311
0.0000 0.0472 0.2623
0.0000 0.2623 0.9528
0.0000 0.7377 0.0472
0.0000 0.9528 0.7377
0.0000 0.4528 0.7623
0.0000 0.5472 0.2377
0.0000 0.7623 0.5472
0.0000 0.2377 0.4528
0.0000 0.5000 0.0000
0.0000 0.0000 0.5000
0.5000 0.7144 0.2144
0.5000 0.2144 0.2856
0.5000 0.7856 0.7144
0.5000 0.2856 0.7856
0.5000 0.1387 0.0985
0.5000 0.0985 0.8613
0.5000 0.9015 0.1387
0.5000 0.8613 0.9015
0.5000 0.3613 0.5985
0.5000 0.6387 0.4015
0.5000 0.5985 0.6387
0.5000 0.4015 0.3613
0.5000 0.5729 0.0729
0.5000 0.0729 0.4271
0.5000 0.9271 0.5729
0.5000 0.4271 0.9271
0.0000 0.3342 0.2890
0.0000 0.2890 0.6658
0.0000 0.7110 0.3342
0.0000 0.6658 0.7110
0.0000 0.1658 0.7890
0.0000 0.8342 0.2110
0.0000 0.7890 0.8342
0.0000 0.2110 0.1658
```

## Properties
DFT total energy: -5.925 eV per atom
space group: P4/mbm, No. 127
ρ: 6.51 g cm⁻³
ΔH_f (0 K): -0.36 eV/atom


[16]
Density functional theory data (PBEsol) for a geometry-optimized Sr4Nb5O15 structure.

```
Sr4Nb5O15
1.0
5.6865 0.0000 0.0000
0.0000 6.9661 0.0030
-2.8433 -2.3185 8.2050
Sr Nb O
4 5 15
direct
0.5972 0.3917 0.1944
0.1969 0.8017 0.3937
0.8031 0.1983 0.6063
0.4028 0.6083 0.8056
0.8013 0.7031 0.6025
0.5983 0.8997 0.1965
0.1987 0.2969 0.3975
0.4017 0.1003 0.8035
0.0000 0.5000 0.0000
0.1009 0.8995 0.6893
0.8991 0.1005 0.3107
0.5000 0.5000 0.5000
0.6924 0.3080 0.8970
0.3076 0.6920 0.1030
0.0000 0.5000 0.5000
0.7953 0.6920 0.1030
0.4116 0.1005 0.3107
0.5884 0.8995 0.6893
0.2047 0.3080 0.8970
0.8976 0.5920 0.7951
0.6989 0.7951 0.3979
0.3011 0.2049 0.6021
0.5000 0.0000 0.0000
0.1024 0.4080 0.2049
```

## Properties
formation energy without anion corrections: -2.82 eV per atom
DFT total energy: -8.660 eV per atom
space group: C2/m, No. 12
ρ: 5.39 g cm⁻³


[17]
Density functional theory data (PBEsol) for a geometry-optimized Mn3CrPd structure.

```
Mn3CrPd
1.0
-0.8545 -3.9040 -1.2858
3.9335 -1.1576 0.9009
-1.1923 -1.0214 3.8936
Cr Mn Pd
1 3 1
direct
0.0000 0.0000 0.0000
0.0000 0.5000 0.0000
0.0000 0.0000 0.5000
0.5000 0.0000 0.0000
0.5000 0.5000 0.5000
```

## Properties
DFT total energy: -8.066 eV per atom
space group: Pm-3m, No. 221
ρ: 7.25 g cm⁻³
ΔH_f (0 K): 1.03 eV/atom


[18]
Density functional theory data (PBEsol) for a geometry-optimized MgZn2Co structure.

```
MgZn2Co
1.0
-1.3724 2.0908 -1.7713
0.5015 -2.4763 -3.3114
-3.3260 -1.6142 3.3229
Zn Co Mg
2 1 1
direct
0.7278 0.7278 0.4556
0.2722 0.2722 0.5444
0.0000 0.5000 0.0000
0.5000 0.0000 0.0000
```

## Properties
DFT total energy: -3.185 eV per atom
space group: Immm, No. 71
ρ: 6.56 g cm⁻³
ΔH_f (0 K): -0.03 eV/atom


[19]
Density functional theory data (PBEsol) for a geometry-optimized GaSiH3 structure.

```
GaSiH3
1.0
3.5761 0.0000 0.0000
0.0000 3.5761 0.0000
0.0000 0.0000 3.5761
H Si Ga
3 1 1
direct
0.0000 0.5000 0.0000
0.0000 0.0000 0.5000
0.5000 0.0000 0.0000
0.0000 0.0000 0.0000
0.5000 0.5000 0.5000
```

## Properties
DFT total energy: -3.357 eV per atom
space group: Pm-3m, No. 221
E above lowest polymorph: 0.0 meV/atom
ρ: 3.66 g cm⁻³


[20]
Density functional theory data (PBEsol) for a geometry-optimized ScTcBC2 structure.

```
ScTcBC2
1.0
3.9245 0.0000 0.0000
0.0000 3.9245 0.0000
0.0000 0.0000 4.0024
Sc C B Tc
1 2 1 1
direct
0.5000 0.5000 0.5000
0.0000 0.5000 0.0000
0.5000 0.0000 0.0000
0.0000 0.0000 0.5000
0.0000 0.0000 0.0000
```

## Properties
DFT total energy: -7.961 eV per atom
space group: P4/mmm, No. 123
ρ: 4.79 g cm⁻³
ΔH_f (0 K): 0.87 eV/atom